[1]
A relaxed structure of LiIn2Ge, computed with PBE-GGA.

The structure in extended XYZ format:
```
4
Lattice="-4.4398 -0.4250 0.8064 0.8701 -2.5745 3.4339 0.1361 3.5185 2.6035" Properties=species:S:1:pos:R:3 pbc="T T T"
Ge -1.7168 0.2595 3.4219
Li -2.2199 -0.2125 0.4032
In 0.0680 1.7592 1.3018
In 0.4350 -1.2873 1.7169
```

VASP energy, eV for the cell shown: -12.28
Formation enthalpy at 0 K, eV/atom: -0.0674


[2]
A relaxed structure of AlSb2AuI, computed with PBE-GGA.

The structure in extended XYZ format:
```
5
Lattice="5.3998 0.0000 0.0000 0.0000 5.3998 0.0000 0.0000 0.0000 5.8772" Properties=species:S:1:pos:R:3 pbc="T T T"
I 0.0000 0.0000 2.9386
Sb 0.0000 2.6999 0.0000
Sb 2.6999 0.0000 0.0000
Au 0.0000 0.0000 0.0000
Al 2.6999 2.6999 2.9386
```

ΔE_f (raw), eV per atom: 0.6391
VASP energy, eV for the cell shown: -13.62


[3]
A relaxed structure of SrTaCr2, computed with PBE-GGA.

The structure in extended XYZ format:
```
4
Lattice="-1.5140 -3.8551 2.4360 -4.4296 -1.7142 -0.7268 -0.6120 -4.1896 -2.2717" Properties=species:S:1:pos:R:3 pbc="T T T"
Sr 0.0000 0.0000 0.0000
Cr -1.6389 -2.4397 -0.1406
Cr -4.9167 -7.3191 -0.4219
Ta -3.2778 -4.8794 -0.2813
```

VASP energy, eV for the cell shown: -28.84
Formation enthalpy at 0 K, eV/atom: 0.9841


[4]
A relaxed structure of PuZnCo, computed with PBE-GGA.

The structure in extended XYZ format:
```
3
Lattice="3.0349 0.0000 0.0000 0.0000 3.0349 0.0000 -1.5175 -1.5175 5.4971" Properties=species:S:1:pos:R:3 pbc="T T T"
Zn 1.5175 1.5175 4.6174
Co 0.0000 0.0000 3.2695
Pu 1.5175 1.5175 1.4581
```

VASP energy, eV for the cell shown: -22.69
Formation enthalpy at 0 K, eV/atom: 0.0057


[5]
A relaxed structure of LaSc2BiCl, computed with PBE-GGA.

The structure in extended XYZ format:
```
5
Lattice="5.7588 0.0000 0.0000 0.0000 5.1736 0.0000 0.0000 0.0000 5.7588" Properties=species:S:1:pos:R:3 pbc="T T T"
Sc 0.0000 0.0000 2.8794
Sc 2.8794 0.0000 0.0000
Cl 0.0000 2.5868 0.0000
Bi 2.8794 2.5868 2.8794
La 0.0000 0.0000 0.0000
```

ΔE_f (raw), eV per atom: 0.3123
VASP energy, eV for the cell shown: -21.76


[6]
A relaxed structure of Sm2Th4N, computed with PBE-GGA.

The structure in extended XYZ format:
```
7
Lattice="5.0691 0.0000 0.0000 0.0000 5.0691 0.0000 2.5345 2.5345 8.6309" Properties=species:S:1:pos:R:3 pbc="T T T"
Sm 5.0691 5.0691 6.0239
Sm 2.5345 2.5345 2.6069
Th 5.0691 5.0691 2.3876
Th 2.5345 2.5345 6.2433
Th 0.0000 2.5345 0.0000
Th 2.5345 0.0000 0.0000
N 0.0000 0.0000 0.0000
```

ΔE_f (raw), eV per atom: -0.2251
VASP energy, eV for the cell shown: -49.02


> The highest VASP energy belongs to which entry?

LiIn2Ge